## NbV2Sb2 (PBE)

Data for crystalline NbV2Sb2 at its relaxed geometry.

It has space group P4/mbm (No. 127), with a = 7.147 Å, b = 7.147 Å, c = 3.592 Å, α = 90.00°, β = 90.00° and γ = 90.00°. The distinct sites, in fractional coordinates, are Nb at (0.000, 0.000, 0.000), V at (0.127, 0.373, 0.000) and Sb at (0.172, 0.672, 0.500).

Its formation energy (no corrections) is 0.201 eV per atom. Its density of states at the Fermi level is 6.13 states/eV/f.u. Its uncorrected energy is -7.109 eV per atom. For the energy relative to the lowest polymorph listed for this composition, the calculation gives 0 meV/atom.